# 1
Computed, not measured: crystalline Ba2AlOsW at its relaxed geometry at the PBE-GGA level of DFT.

```
5
Lattice="6.1902 0.0000 0.0000 0.0000 4.5867 0.0000 0.0000 0.0000 6.1902" Properties=species:S:1:pos:R:3 pbc="T T T"
Ba 3.0951 0.0000 0.0000
Ba 0.0000 0.0000 3.0951
Os 0.0000 2.2933 0.0000
W 3.0951 2.2933 3.0951
Al 0.0000 0.0000 0.0000
```

---

# 2
Computed, not measured: crystalline YSi2Se6 at its relaxed geometry at the PBE-GGA level of DFT.

```
18
Lattice="-2.9052 4.2178 -4.0067 -6.8092 -5.1224 -1.9338 -4.9933 3.7632 6.1032" Properties=species:S:1:pos:R:3 pbc="T T T"
Si -6.0115 2.3583 -2.6033
Si -10.4179 1.2920 -0.4288
Si -8.6962 0.5002 2.7660
Si -4.2897 1.5666 0.5914
Se -8.7384 -0.0313 0.4931
Se -10.7644 0.2597 3.7395
Se -6.4775 0.1332 -2.7331
Se -9.8897 3.5520 -0.1767
Se -4.8179 -0.6934 0.3393
Se -2.1737 2.0408 -0.1707
Se -12.5340 0.8177 0.3333
Se -5.9692 2.8899 -0.3304
Se -3.9432 2.5988 -3.5768
Se -10.4876 0.8957 -2.6700
Se -8.2301 2.7254 2.8957
Se -4.2200 1.9629 2.8327
Y -8.7792 -0.9370 -4.0144
Y -5.9285 3.7955 4.1770
```

---

# 3
Computed, not measured: crystalline YTa2Au at its relaxed geometry at the PBE-GGA level of DFT.

```
4
Lattice="5.6214 0.0007 0.0000 -2.6628 4.9507 0.0000 0.0000 0.0000 2.9248" Properties=species:S:1:pos:R:3 pbc="T T T"
Ta 0.0000 0.0000 0.0000
Ta 1.4793 2.4757 0.0000
Au -1.3314 2.4753 1.4624
Y 2.8107 0.0003 1.4624
```

The polymorph energy (0 for the lowest one) is 0.376 eV/atom.

---

# 4
Computed, not measured: crystalline Ba3SrTl at its relaxed geometry at the PBE-GGA level of DFT.

```
10
Lattice="9.0918 -0.0320 -0.1249 -2.5183 8.7361 0.1249 -3.7450 -4.0060 7.2107" Properties=species:S:1:pos:R:3 pbc="T T T"
Ba 6.4872 -0.7292 2.0295
Ba -0.0420 2.6960 2.1544
Ba -1.9033 1.4374 6.1773
Ba 2.8705 2.0022 5.0563
Ba -3.6587 5.4273 5.1812
Ba 4.7318 3.2607 1.0334
Tl 0.4721 -0.3566 4.5184
Tl 2.3563 5.0547 2.6923
Sr 3.4032 -2.5701 5.3174
Sr -0.5747 7.2682 1.8933
```

The polymorph energy (0 for the lowest one) is 0.084 eV/atom.

---

# 5
Computed, not measured: crystalline LiTlSi at its relaxed geometry at the PBE-GGA level of DFT.

```
3
Lattice="6.6931 0.0617 -0.0639 5.9286 3.1024 -0.0271 0.7646 0.1448 3.0375" Properties=species:S:1:pos:R:3 pbc="T T T"
Si 4.8987 1.1975 1.9467
Li 12.3731 3.1007 -0.0254
Tl 8.7362 2.1747 0.9342
```

---

# 6
Computed, not measured: crystalline LuPuGaFe at its relaxed geometry at the PBE-GGA level of DFT.

```
4
Lattice="-2.5625 -1.8476 3.6892 1.5646 -3.9897 2.2859 1.7046 0.3117 4.5374" Properties=species:S:1:pos:R:3 pbc="T T T"
Pu 0.1767 -1.3814 2.6281
Fe 0.3533 -2.7628 5.2562
Ga 0.0000 0.0000 0.0000
Lu 0.5300 -4.1442 7.8844
```

---

# 7
Computed, not measured: crystalline Tb3SmTm7 at its relaxed geometry at the PBE-GGA level of DFT.

```
11
Lattice="-4.4447 -2.5418 1.9104 4.9156 -8.5396 0.0693 5.2383 5.7040 4.1428" Properties=species:S:1:pos:R:3 pbc="T T T"
Tm 0.3968 1.5811 3.0266
Tm 4.1631 0.8505 3.0010
Tm 1.5460 -6.2279 3.1216
Tm 0.8897 -1.2040 0.4667
Tm 4.8194 -4.1734 5.6559
Tm -0.3157 -3.7663 2.0670
Tm 6.0248 -1.6111 4.0556
Tb 2.4578 -4.2698 0.0347
Tb 7.7362 -4.7702 3.8243
Tb -2.0270 -0.6073 2.2982
Sm 2.8546 -2.6887 3.0613
```

The polymorph energy (0 for the lowest one) is 0.000 eV/atom.

---

# 8
Computed, not measured: crystalline Ba2Ga7Au12 at its relaxed geometry at the PBE-GGA level of DFT.

```
21
Lattice="5.0181 0.0128 0.0045 0.0020 8.7698 -5.0338 -0.0282 -0.0084 10.0939" Properties=species:S:1:pos:R:3 pbc="T T T"
Ga 4.6592 6.1136 5.8634
Ga 2.9474 3.8457 -1.8853
Ga 4.6926 0.6348 7.4227
Ga 2.9482 8.5053 -0.7756
Ga 3.8033 2.9377 5.0390
Ga 4.6720 2.0166 1.9061
Ga 2.9429 5.2202 2.6984
Au 2.2049 1.9114 3.0409
Au 0.3888 0.6760 4.9180
Au 0.0907 7.0070 3.3719
Au 0.3932 4.1557 3.1658
Au 2.1912 5.1705 5.1914
Au 2.5146 3.5136 0.6731
Au 2.5108 7.6001 1.7069
Au 0.1053 8.1703 -2.6813
Au 0.3753 3.9086 7.0594
Au 0.0890 2.3441 -0.6524
Au 2.2217 1.6849 6.9192
Au 2.5282 6.4555 -2.3435
Ba 0.1492 5.8473 0.0050
Ba 2.4440 0.0011 10.0920
```

---

# 9
Computed, not measured: crystalline Rb2Ac2NpO6 at its relaxed geometry at the PBE-GGA level of DFT.

```
11
Lattice="-3.6691 2.1117 4.9438 -2.5980 -0.4613 -5.9498 -0.0581 -6.8097 1.6027" Properties=species:S:1:pos:R:3 pbc="T T T"
O -5.2127 -0.5517 1.4503
O -4.8745 -1.3642 -1.9896
O -1.1124 -4.6076 -0.8536
O -1.4506 -3.7951 2.5863
O -4.8120 -3.3072 0.3080
O -1.5132 -1.8521 0.2887
Ac -2.9857 -3.0047 -1.5012
Ac -3.3395 -2.1546 2.0979
Np -0.0290 -3.4049 0.8014
Rb -2.7701 -0.0479 -4.1995
Rb -3.4970 1.6983 3.1935
```

---

# 10
Computed, not measured: crystalline CsNiC3 at its relaxed geometry at the PBE-GGA level of DFT.

```
5
Lattice="-2.1059 3.5050 -1.8466 -2.9670 -2.7812 -1.8953 -2.6253 0.3316 3.6232" Properties=species:S:1:pos:R:3 pbc="T T T"
C -1.3127 0.1658 1.8116
C -1.4835 -1.3906 -0.9477
C -1.0529 1.7525 -0.9233
Ni -3.8491 0.5277 -0.0594
Cs 0.0000 0.0000 0.0000
```

---

# 11
Computed, not measured: crystalline BaSrP at its relaxed geometry at the PBE-GGA level of DFT.

```
3
Lattice="-0.1764 5.2253 -1.0389 -3.0704 3.2026 2.9545 2.2368 3.4656 3.3763" Properties=species:S:1:pos:R:3 pbc="T T T"
Sr 0.0000 0.0000 0.0000
Ba -0.5050 5.9468 2.6460
P -0.7575 8.9201 3.9690
```

The polymorph energy (0 for the lowest one) is 0.053 eV/atom.

---

# 12
Computed, not measured: crystalline Li2BTeBr at its relaxed geometry at the PBE-GGA level of DFT.

```
5
Lattice="5.2658 0.0000 0.0000 0.0000 3.9311 0.0000 0.0000 0.0000 5.2658" Properties=species:S:1:pos:R:3 pbc="T T T"
Li 0.0000 0.0000 2.6329
Li 2.6329 0.0000 0.0000
B 0.0000 0.0000 0.0000
Br 0.0000 1.9656 0.0000
Te 2.6329 1.9656 2.6329
```

---

Calculated values (eV per atom) of total DFT energy (no corrections) for the records, taken in order: -4.7303, -4.9096, -8.0294, -2.0694, -3.0708, -7.7034, -4.3775, -3.4356, -7.4507, -2.3409, -3.7875, -2.6671.
Calculated values (μB per formula unit) of total magnetic moment for the records, taken in order: 4.50, 0.00, 0.00, 0.00, 0.00, 3.53, 0.00, 0.00, 3.00, 0.00, 0.00, 0.00.
Calculated values (states/eV per atom) of D(E_F) for the records, taken in order: 0.92, 0.62, 1.07, 1.45, 0.55, 2.36, 1.69, 0.34, 0.88, 0.44, 0.64, 0.57.